Na2SnBPd6: optimized geometry, GGA-PBE.

Calculated values
The magnetic moment is 0.000 μB/atom. The calculated formation energy comes out at -2.7 eV per formula unit. The crystal system is triclinic. For the calculated density, the calculation gives 7.10 Mg/m³.

Cell lengths 5.8116, 5.8118, 7.3040 Å; angles 113.10, 90.12, 119.99 degrees
Closest atoms and distances in Å follow each position.
Space group P-1 (No. 2)
Inequivalent atoms, fractional coordinates:
Na: 0.2216 0.4460 0.1627  6 Pd 3.09-3.12
Sn: 0.5000 0.0000 0.0000  6 Pd 2.67-2.68
B: 0.0000 0.0000 0.5000  6 Pd 2.08
Pd: 0.2290 0.9298 0.6657  1 B 2.08
Pd: 0.2320 0.4604 0.6752  1 B 2.08
Pd: 0.2944 0.0677 0.3310  1 B 2.08